1.
Sr2LaCr after structural relaxation, computed with GGA-PBE.

Cell and atoms, written as CIF:
```
data_Sr2LaCr
_cell_length_a 3.9368
_cell_length_b 3.9339
_cell_length_c 9.9459
_cell_angle_alpha 90.00
_cell_angle_beta 90.00
_cell_angle_gamma 90.00
_symmetry_space_group_name_H-M 'P 1 m 1'
_symmetry_Int_Tables_number 6
loop_
_symmetry_equiv_pos_as_xyz
'x,y,z'
'x,-y,z'
loop_
_atom_site_label
_atom_site_fract_x
_atom_site_fract_y
_atom_site_fract_z
Sr1 0.0000 0.0000 0.0000
Sr2 0.4990 0.5000 0.6649
La1 0.0005 0.0000 0.3695
Cr1 0.5004 0.5000 0.2137
```

- DFT formation energy: 330 meV/atom
- Total energy: -4.1489 eV/atom
- M_tot: 3.37 μB/f.u.
- DOS(E_F): 3.86 states/eV/cell

---

2.
Nd5TlZn2 after structural relaxation, computed with GGA-PBE.

Cell and atoms, written as CIF:
```
data_Nd5TlZn2
_cell_length_a 7.7579
_cell_length_b 7.7579
_cell_length_c 15.6701
_cell_angle_alpha 90.00
_cell_angle_beta 90.00
_cell_angle_gamma 90.00
_symmetry_space_group_name_H-M 'I 4/m c m'
_symmetry_Int_Tables_number 140
_symmetry_space_group_name_Hall '-I 4 2c'
loop_
_atom_site_label
_atom_site_fract_x
_atom_site_fract_y
_atom_site_fract_z
Nd1 0.0000 0.0000 0.0000
Nd2 0.1656 0.3344 0.1474
Tl1 0.0000 0.0000 0.2500
Zn1 0.1200 0.3800 0.5000
```

- DFT formation energy: -227 meV/atom
- Total energy: -3.8215 eV/atom
- M_tot: 0.00 μB/f.u.
- DOS(E_F): 36.24 states/eV/cell

---

3.
Mg6AlIn2 after structural relaxation, computed with GGA-PBE.

Cell and atoms, written as CIF:
```
data_Mg6AlIn2
_cell_length_a 14.7113
_cell_length_b 10.8222
_cell_length_c 5.2308
_cell_angle_alpha 90.00
_cell_angle_beta 101.95
_cell_angle_gamma 90.00
_symmetry_space_group_name_H-M 'C 1 2/c 1'
_symmetry_Int_Tables_number 15
loop_
_symmetry_equiv_pos_as_xyz
'x,y,z'
'-x,-y,-z'
'-x,y,-z+1/2'
'x,-y,z+1/2'
'x+1/2,y+1/2,z'
'-x+1/2,-y+1/2,-z'
'-x+1/2,y+1/2,-z+1/2'
'x+1/2,-y+1/2,z+1/2'
loop_
_atom_site_label
_atom_site_fract_x
_atom_site_fract_y
_atom_site_fract_z
Mg1 0.0571 0.1253 0.0262
Mg2 0.1038 0.3861 0.3033
Mg3 0.2193 0.3792 0.8653
Al1 0.0000 0.3659 0.7500
In1 0.1679 0.1336 0.5796
```

- DFT formation energy: -12 meV/atom
- Total energy: -2.0996 eV/atom
- M_tot: 0.00 μB/f.u.
- DOS(E_F): 12.73 states/eV/cell

---

4.
CsTaNi2 after structural relaxation, computed with GGA-PBE.

Cell and atoms, written as CIF:
```
data_CsTaNi2
_cell_length_a 6.7064
_cell_length_b 6.7064
_cell_length_c 6.7064
_cell_angle_alpha 90.00
_cell_angle_beta 90.00
_cell_angle_gamma 90.00
_symmetry_space_group_name_H-M 'F m -3 m'
_symmetry_Int_Tables_number 225
_symmetry_space_group_name_Hall '-F 4 2 3'
loop_
_atom_site_label
_atom_site_fract_x
_atom_site_fract_y
_atom_site_fract_z
Cs1 0.0000 0.0000 0.0000
Ta1 0.0000 0.0000 0.5000
Ni1 0.2500 0.2500 0.2500
```

- DFT formation energy: 1481 meV/atom
- Total energy: -4.5865 eV/atom
- M_tot: 0.00 μB/f.u.
- DOS(E_F): 26.98 states/eV/cell

---

5.
TaIn2Rh after structural relaxation, computed with GGA-PBE.

Cell and atoms, written as CIF:
```
data_TaIn2Rh
_cell_length_a 3.0822
_cell_length_b 4.8179
_cell_length_c 5.1179
_cell_angle_alpha 90.00
_cell_angle_beta 90.00
_cell_angle_gamma 90.00
_symmetry_space_group_name_H-M 'P m m m'
_symmetry_Int_Tables_number 47
loop_
_symmetry_equiv_pos_as_xyz
'x,y,z'
'-x,-y,-z'
'-x,-y,z'
'x,y,-z'
'x,-y,-z'
'-x,y,z'
'-x,y,-z'
'x,-y,z'
loop_
_atom_site_label
_atom_site_fract_x
_atom_site_fract_y
_atom_site_fract_z
Ta1 0.0000 0.0000 0.0000
In1 0.0000 0.5000 0.5000
In2 0.5000 0.5000 0.0000
Rh1 0.5000 0.0000 0.5000
```

- DFT formation energy: 154 meV/atom
- Total energy: -6.0167 eV/atom
- M_tot: 0.00 μB/f.u.
- DOS(E_F): 3.17 states/eV/cell

---

6.
PrSn8Ir2 after structural relaxation, computed with GGA-PBE.

Cell and atoms, written as CIF:
```
data_PrSn8Ir2
_cell_length_a 6.4636
_cell_length_b 6.4636
_cell_length_c 7.8816
_cell_angle_alpha 90.00
_cell_angle_beta 90.00
_cell_angle_gamma 90.00
_symmetry_space_group_name_H-M 'P 4/m m m'
_symmetry_Int_Tables_number 123
_symmetry_space_group_name_Hall '-P 4 2'
loop_
_atom_site_label
_atom_site_fract_x
_atom_site_fract_y
_atom_site_fract_z
Pr1 0.0000 0.0000 0.0000
Sn1 0.2501 0.2501 0.2999
Ir1 0.0000 0.5000 0.5000
```

- DFT formation energy: -117 meV/atom
- Total energy: -5.0742 eV/atom
- M_tot: 0.00 μB/f.u.
- DOS(E_F): 8.55 states/eV/cell

---

7.
LaCe2Sm3Y6 after structural relaxation, computed with GGA-PBE.

Cell and atoms, written as CIF:
```
data_LaCe2Sm3Y6
_cell_length_a 6.2302
_cell_length_b 10.7921
_cell_length_c 11.8345
_cell_angle_alpha 90.00
_cell_angle_beta 100.10
_cell_angle_gamma 90.00
_symmetry_space_group_name_H-M 'C 1 2/m 1'
_symmetry_Int_Tables_number 12
loop_
_symmetry_equiv_pos_as_xyz
'x,y,z'
'-x,-y,-z'
'-x,y,-z'
'x,-y,z'
'x+1/2,y+1/2,z'
'-x+1/2,-y+1/2,-z'
'-x+1/2,y+1/2,-z'
'x+1/2,-y+1/2,z'
loop_
_atom_site_label
_atom_site_fract_x
_atom_site_fract_y
_atom_site_fract_z
La1 0.0000 0.0000 0.0000
Ce1 0.0000 0.3333 0.0000
Sm1 0.0000 0.1664 0.5000
Sm2 0.0000 0.5000 0.5000
Y1 0.2469 0.5000 0.2487
Y2 0.2487 0.3319 0.7514
```

- DFT formation energy: 48 meV/atom
- Total energy: -5.7635 eV/atom
- M_tot: 1.93 μB/f.u.
- DOS(E_F): 44.13 states/eV/cell

---

8.
AcErGe4 after structural relaxation, computed with GGA-PBE.

Cell and atoms, written as CIF:
```
data_AcErGe4
_cell_length_a 7.8749
_cell_length_b 17.6162
_cell_length_c 4.2055
_cell_angle_alpha 90.00
_cell_angle_beta 90.00
_cell_angle_gamma 90.00
_symmetry_space_group_name_H-M 'P b a m'
_symmetry_Int_Tables_number 55
loop_
_symmetry_equiv_pos_as_xyz
'x,y,z'
'-x,-y,-z'
'-x,-y,z'
'x,y,-z'
'x+1/2,-y+1/2,-z'
'-x+1/2,y+1/2,z'
'-x+1/2,y+1/2,-z'
'x+1/2,-y+1/2,z'
loop_
_atom_site_label
_atom_site_fract_x
_atom_site_fract_y
_atom_site_fract_z
Ac1 0.1369 0.1651 0.0000
Er1 0.1369 0.4139 0.0000
Ge1 0.0239 0.6835 0.5000
Ge2 0.0949 0.9385 0.5000
Ge3 0.1497 0.5393 0.5000
Ge4 0.2045 0.8025 0.5000
```

- DFT formation energy: -545 meV/atom
- Total energy: -5.0681 eV/atom
- M_tot: 0.00 μB/f.u.
- DOS(E_F): 7.66 states/eV/cell

---

9.
VReMo14 after structural relaxation, computed with GGA-PBE.

Cell and atoms, written as CIF:
```
data_VReMo14
_cell_length_a 6.3062
_cell_length_b 8.8975
_cell_length_c 8.9359
_cell_angle_alpha 90.00
_cell_angle_beta 90.00
_cell_angle_gamma 90.00
_symmetry_space_group_name_H-M 'C m m m'
_symmetry_Int_Tables_number 65
_symmetry_space_group_name_Hall '-C 2 2'
loop_
_atom_site_label
_atom_site_fract_x
_atom_site_fract_y
_atom_site_fract_z
V1 0.0000 0.0000 0.0000
Re1 0.0000 0.5000 0.0000
Mo1 0.0000 0.0000 0.5000
Mo2 0.0000 0.2496 0.2479
Mo3 0.0000 0.5000 0.5000
Mo4 0.2482 0.0000 0.2475
Mo5 0.2500 0.2500 0.0000
Mo6 0.2500 0.2500 0.5000
```

- DFT formation energy: -34 meV/atom
- Total energy: -10.8595 eV/atom
- M_tot: 0.00 μB/f.u.
- DOS(E_F): 23.40 states/eV/cell

---

10.
As4Au3 after structural relaxation, computed with GGA-PBE.

Cell and atoms, written as CIF:
```
data_As4Au3
_cell_length_a 3.7608
_cell_length_b 3.7608
_cell_length_c 20.0138
_cell_angle_alpha 90.00
_cell_angle_beta 90.00
_cell_angle_gamma 90.00
_symmetry_space_group_name_H-M 'I 4/m m m'
_symmetry_Int_Tables_number 139
_symmetry_space_group_name_Hall '-I 4 2'
loop_
_atom_site_label
_atom_site_fract_x
_atom_site_fract_y
_atom_site_fract_z
As1 0.0000 0.0000 0.0917
As2 0.0000 0.0000 0.3677
Au1 0.0000 0.0000 0.2243
Au2 0.0000 0.0000 0.5000
```

- DFT formation energy: 262 meV/atom
- Total energy: -3.7996 eV/atom
- M_tot: 0.00 μB/f.u.
- DOS(E_F): 4.79 states/eV/cell

---

11.
Er3Ir8Rh after structural relaxation, computed with GGA-PBE.

Cell and atoms, written as CIF:
```
data_Er3Ir8Rh
_cell_length_a 5.3018
_cell_length_b 5.3018
_cell_length_c 25.9846
_cell_angle_alpha 90.00
_cell_angle_beta 90.00
_cell_angle_gamma 120.00
_symmetry_space_group_name_H-M 'R 3 m'
_symmetry_Int_Tables_number 160
_symmetry_space_group_name_Hall 'R 3 -2"'
loop_
_atom_site_label
_atom_site_fract_x
_atom_site_fract_y
_atom_site_fract_z
Er1 0.0000 0.0000 0.0000
Er2 0.0000 0.0000 0.1307
Er3 0.0000 0.0000 0.6135
Ir1 0.0000 0.0000 0.3127
Ir2 0.0000 0.0000 0.8141
Ir3 0.1672 0.3345 0.8955
Ir4 0.1679 0.3358 0.3969
Rh1 0.0000 0.0000 0.4828
```

- DFT formation energy: -541 meV/atom
- Total energy: -8.2017 eV/atom
- M_tot: 0.00 μB/f.u.
- DOS(E_F): 45.61 states/eV/cell

---

12.
In2RuRh after structural relaxation, computed with GGA-PBE.

Cell and atoms, written as CIF:
```
data_In2RuRh
_cell_length_a 8.6826
_cell_length_b 3.1081
_cell_length_c 5.3400
_cell_angle_alpha 90.00
_cell_angle_beta 102.13
_cell_angle_gamma 90.00
_symmetry_space_group_name_H-M 'C 1 2/m 1'
_symmetry_Int_Tables_number 12
loop_
_symmetry_equiv_pos_as_xyz
'x,y,z'
'-x,-y,-z'
'-x,y,-z'
'x,-y,z'
'x+1/2,y+1/2,z'
'-x+1/2,-y+1/2,-z'
'-x+1/2,y+1/2,-z'
'x+1/2,-y+1/2,z'
loop_
_atom_site_label
_atom_site_fract_x
_atom_site_fract_y
_atom_site_fract_z
In1 0.2500 0.0000 0.2492
Ru1 0.0000 0.5000 0.0000
Rh1 0.0000 0.0000 0.5000
```

- DFT formation energy: 54 meV/atom
- Total energy: -5.4725 eV/atom
- M_tot: 0.00 μB/f.u.
- DOS(E_F): 8.00 states/eV/cell

---

- What is the DOS(E_F) in the ninth record?
  23.40 states/eV/cell